No. 1
Density functional theory data (PBE-GGA) for a relaxed Ac2MgSi3Pd12 crystal.

* total energy: -5.37 eV/atom
* SG: R-3m
* raw formation energy: -0.455 eV/atom
* size of the total moment: 0.00 μB per formula unit

Unit cell a=6.9694 b=6.9694 c=6.9694 alpha=82.97 beta=82.97 gamma=82.97
Fractional positions:
Si1 0.0000 0.5000 0.0000
Si2 0.5000 0.0000 0.0000
Pd1 0.3220 0.8270 0.8270
Pd2 0.1730 0.1730 0.6780
Pd3 0.8270 0.8270 0.3220
Pd4 0.8270 0.3220 0.8270
Si3 0.0000 0.0000 0.5000
Pd5 0.6423 0.6423 0.0812
Pd6 0.3577 0.3577 0.9188
Mg1 0.0000 0.0000 0.0000
Ac1 0.6307 0.6307 0.6307
Pd7 0.6780 0.1730 0.1730
Ac2 0.3693 0.3693 0.3693
Pd8 0.0812 0.6423 0.6423
Pd9 0.9188 0.3577 0.3577
Pd10 0.1730 0.6780 0.1730
Pd11 0.3577 0.9188 0.3577
Pd12 0.6423 0.0812 0.6423

***

No. 2
Density functional theory data (PBE-GGA) for a relaxed AcMg2SiPd2 crystal.

* total energy: -4.31 eV/atom
* SG: I4/mmm
* raw formation energy: -0.456 eV/atom
* size of the total moment: 0.00 μB per formula unit

Unit cell a=4.9052 b=4.9052 c=6.9033 alpha=110.81 beta=110.81 gamma=90.00
Fractional positions:
Mg1 0.2500 0.7500 0.5000
Ac1 0.5000 0.5000 0.0000
Pd1 0.8108 0.8108 0.6215
Pd2 0.1892 0.1892 0.3785
Mg2 0.7500 0.2500 0.5000
Si1 0.0000 0.0000 0.0000

***

What did the second record say?
Density functional theory data (PBE-GGA) for a relaxed AcMg2SiPd2 crystal.

* total energy: -4.31 eV/atom
* SG: I4/mmm
* raw formation energy: -0.456 eV/atom
* size of the total moment: 0.00 μB per formula unit

Unit cell a=4.9052 b=4.9052 c=6.9033 alpha=110.81 beta=110.81 gamma=90.00
Fractional positions:
Mg1 0.2500 0.7500 0.5000
Ac1 0.5000 0.5000 0.0000
Pd1 0.8108 0.8108 0.6215
Pd2 0.1892 0.1892 0.3785
Mg2 0.7500 0.2500 0.5000
Si1 0.0000 0.0000 0.0000

***

> Which formula does entry 1 have?

Ac2MgSi3Pd12

***

> The lowest raw formation energy belongs to which entry?

AcMg2SiPd2